(1)
A relaxed structure of CaAcNdMg. Source: Alexandria via LeMat-Bulk, functional PBE.

Calculated values
Energy of formation   0.12 eV/atom
Space group   F-43m (216)
Relative energy among the computed polymorphs   136 meV per atom

Cell lengths 8.3318, 8.3318, 8.3318 Å; angles 90.00, 90.00, 90.00 degrees
Closest atoms and distances in Å follow each position.
Element x y z (fractional)
Ca: 0.0000 0.0000 0.0000  4 Ac 3.61, 4 Mg 3.61
Ca: 0.0000 0.5000 0.5000  4 Ac 3.61, 4 Mg 3.61
Ca: 0.5000 0.0000 0.5000  4 Ac 3.61, 4 Mg 3.61
Ca: 0.5000 0.5000 0.0000  4 Ac 3.61, 4 Mg 3.61
Ac: 0.2500 0.2500 0.2500  4 Nd 3.61, 4 Ca 3.61
Ac: 0.2500 0.7500 0.7500  4 Nd 3.61, 4 Ca 3.61
Ac: 0.7500 0.2500 0.7500  4 Nd 3.61, 4 Ca 3.61
Ac: 0.7500 0.7500 0.2500  4 Nd 3.61, 4 Ca 3.61
Nd: 0.0000 0.0000 0.5000  4 Mg 3.61, 4 Ac 3.61
Nd: 0.0000 0.5000 0.0000  4 Mg 3.61, 4 Ac 3.61
Nd: 0.5000 0.0000 0.0000  4 Mg 3.61, 4 Ac 3.61
Nd: 0.5000 0.5000 0.5000  4 Mg 3.61, 4 Ac 3.61
Mg: 0.2500 0.2500 0.7500  4 Ca 3.61, 4 Nd 3.61
Mg: 0.2500 0.7500 0.2500  4 Ca 3.61, 4 Nd 3.61
Mg: 0.7500 0.2500 0.2500  4 Ca 3.61, 4 Nd 3.61
Mg: 0.7500 0.7500 0.7500  4 Ca 3.61, 4 Nd 3.61

***

(2)
A relaxed structure of Pm2Co4C. Source: Alexandria via LeMat-Bulk, functional PBE.

Calculated values
Energy of formation   0.08 eV/atom
Space group   Fmmm (69)
Relative energy among the computed polymorphs   88 meV per atom

Cell lengths 5.7204, 5.7085, 5.0283 Å; angles 64.02, 63.78, 52.20 degrees
Closest atoms and distances in Å follow each position.
Element x y z (fractional)
Pm: 0.2500 0.2500 0.2500  8 Co 2.86
Pm: 0.7500 0.7500 0.7500  8 Co 2.86
Co: 0.2361 0.7639 0.7639  1 C 1.87
Co: 0.2373 0.7627 0.2373  1 C 1.87
Co: 0.7627 0.2373 0.7627  1 C 1.87
Co: 0.7639 0.2361 0.2361  1 C 1.87
C: 0.5000 0.5000 0.5000  4 Co 1.87

***

(3)
A relaxed structure of Er4MgHg. Source: Alexandria via LeMat-Bulk, functional PBE.

Calculated values
Energy of formation   0.15 eV/atom
Space group   P4/mmm (123)

Cell lengths 5.0489, 5.0489, 7.4107 Å; angles 90.00, 90.00, 90.00 degrees
Closest atoms and distances in Å follow each position.
Element x y z (fractional)
Er: 0.0000 0.5000 0.2392  2 Hg 3.08, 2 Mg 3.18
Er: 0.0000 0.5000 0.7608  2 Hg 3.08, 2 Mg 3.18
Er: 0.5000 0.0000 0.2392  2 Hg 3.08, 2 Mg 3.18
Er: 0.5000 0.0000 0.7608  2 Hg 3.08, 2 Mg 3.18
Mg: 0.0000 0.0000 0.5000  8 Er 3.18
Hg: 0.5000 0.5000 0.0000  8 Er 3.08

***

(4)
A relaxed structure of SrGa2RuO8. Source: Alexandria via LeMat-Bulk, functional PBE.

Calculated values
Space group   P-1 (2)
Total DFT energy (no corrections)   -72.27 eV/cell

Cell lengths 4.3829, 4.8537, 6.6378 Å; angles 89.96, 89.87, 88.60 degrees
Closest atoms and distances in Å follow each position.
Element x y z (fractional)
Sr: 0.0000 0.0000 0.0000  6 O 2.41-2.54
Ga: 0.5000 0.5002 0.2675  6 O 1.96-2.08
Ga: 0.5000 0.4998 0.7325  6 O 1.96-2.08
Ru: 0.0000 0.0000 0.5000  6 O 1.89-1.98
O: 0.2541 0.3329 0.5001  1 Ru 1.98, 2 Ga 2.06
O: 0.2568 0.8417 0.6993  1 Ru 1.89, 1 Ga 1.96
O: 0.2584 0.4623 0.0000  2 Ga 2.08, 2 O 2.16-2.29
O: 0.2579 0.8425 0.3000  1 Ru 1.89, 1 Ga 1.96
O: 0.7421 0.1575 0.7000  1 Ru 1.89, 1 Ga 1.96
O: 0.7416 0.5377 0.0000  2 Ga 2.08, 2 O 2.16-2.29
O: 0.7432 0.1583 0.3007  1 Ru 1.89, 1 Ga 1.96
O: 0.7459 0.6671 0.4999  1 Ru 1.98, 2 Ga 2.06

***

(5)
A relaxed structure of NbAl2Tl. Source: Alexandria via LeMat-Bulk, functional PBE.

Calculated values
Energy of formation   0.51 eV/atom
Space group   Fm-3m (225)
Relative energy among the computed polymorphs   23 meV per atom

Cell lengths 6.7348, 6.7348, 6.7348 Å; angles 90.00, 90.00, 90.00 degrees
Closest atoms and distances in Å follow each position.
Element x y z (fractional)
Nb: 0.0000 0.0000 0.0000  8 Al 2.92
Nb: 0.0000 0.5000 0.5000  8 Al 2.92
Nb: 0.5000 0.0000 0.5000  8 Al 2.92
Nb: 0.5000 0.5000 0.0000  8 Al 2.92
Al: 0.2500 0.2500 0.2500  4 Tl 2.92, 4 Nb 2.92
Al: 0.2500 0.2500 0.7500  4 Tl 2.92, 4 Nb 2.92
Al: 0.2500 0.7500 0.2500  4 Tl 2.92, 4 Nb 2.92
Al: 0.2500 0.7500 0.7500  4 Tl 2.92, 4 Nb 2.92
Al: 0.7500 0.2500 0.2500  4 Tl 2.92, 4 Nb 2.92
Al: 0.7500 0.2500 0.7500  4 Tl 2.92, 4 Nb 2.92
Al: 0.7500 0.7500 0.2500  4 Tl 2.92, 4 Nb 2.92
Al: 0.7500 0.7500 0.7500  4 Tl 2.92, 4 Nb 2.92
Tl: 0.0000 0.0000 0.5000  8 Al 2.92
Tl: 0.0000 0.5000 0.0000  8 Al 2.92
Tl: 0.5000 0.0000 0.0000  8 Al 2.92
Tl: 0.5000 0.5000 0.5000  8 Al 2.92

***

(6)
A relaxed structure of CdIn4As. Source: Alexandria via LeMat-Bulk, functional PBE.

Calculated values
Energy of formation   0.30 eV/atom
Space group   F-43m (216)

Cell lengths 6.1496, 6.1496, 6.1496 Å; angles 60.00, 60.00, 60.00 degrees
Closest atoms and distances in Å follow each position.
Element x y z (fractional)
Cd: 0.0000 0.0000 0.0000  12 In 3.61, 4 As 3.77
In: 0.1258 0.6247 0.6247  6 In 3.07-3.08
In: 0.6247 0.1258 0.6247  6 In 3.07-3.08
In: 0.6247 0.6247 0.1258  6 In 3.07-3.08
In: 0.6247 0.6247 0.6247  6 In 3.07-3.08
As: 0.2500 0.2500 0.2500  12 In 3.60, 4 Cd 3.77

***

(7)
A relaxed structure of FeTcSe2. Source: Alexandria via LeMat-Bulk, functional PBE.

Calculated values
Space group   Cmmm (65)
Relative energy among the computed polymorphs   756 meV per atom

Cell lengths 3.0663, 5.6255, 7.9127 Å; angles 90.00, 90.00, 90.00 degrees
Closest atoms and distances in Å follow each position.
Element x y z (fractional)
Fe: 0.0000 0.0000 0.0000  4 Se 2.49
Fe: 0.5000 0.5000 0.0000  4 Se 2.49
Tc: 0.0000 0.0000 0.5000  4 Se 2.52
Tc: 0.5000 0.5000 0.5000  4 Se 2.52
Se: 0.0000 0.5000 0.2476  2 Fe 2.49, 2 Tc 2.52
Se: 0.0000 0.5000 0.7524  2 Fe 2.49, 2 Tc 2.52
Se: 0.5000 0.0000 0.2476  2 Fe 2.49, 2 Tc 2.52
Se: 0.5000 0.0000 0.7524  2 Fe 2.49, 2 Tc 2.52

***

(8)
A relaxed structure of TiCoSn. Source: Alexandria via LeMat-Bulk, functional PBE.

Calculated values
Energy of formation   -0.17 eV/atom
Space group   P3m1 (156)

Cell lengths 4.3286, 4.3286, 3.0163 Å; angles 90.00, 90.00, 120.00 degrees
Closest atoms and distances in Å follow each position.
Element x y z (fractional)
Ti: 0.0000 0.0000 0.0000  6 Co 2.91-2.93, 6 Sn 2.92, 2 Ti 3.02
Co: 0.3333 0.6667 0.5073  3 Sn 2.50
Sn: 0.6667 0.3333 0.5000  3 Co 2.50

***

(9)
A relaxed structure of TaMo5. Source: Alexandria via LeMat-Bulk, functional PBE.

Calculated values
Energy of formation   -0.06 eV/atom
Space group   Cmmm (65)
Relative energy among the computed polymorphs   49 meV per atom

Cell lengths 3.1827, 4.5299, 13.4605 Å; angles 90.00, 90.00, 90.00 degrees
Closest atoms and distances in Å follow each position.
Element x y z (fractional)
Ta: 0.0000 0.0000 0.0000  4 Ta 2.77, 4 Mo 2.80
Ta: 0.5000 0.5000 0.0000  4 Ta 2.77, 4 Mo 2.80
Mo: 0.0000 0.0000 0.3352  8 Mo 2.72-2.77
Mo: 0.0000 0.0000 0.6648  8 Mo 2.72-2.77
Mo: 0.0000 0.5000 0.1712  6 Mo 2.72-2.77, 2 Ta 2.80
Mo: 0.0000 0.5000 0.5000  8 Mo 2.73-2.77
Mo: 0.0000 0.5000 0.8288  6 Mo 2.72-2.77, 2 Ta 2.80
Mo: 0.5000 0.0000 0.1712  6 Mo 2.72-2.77, 2 Ta 2.80
Mo: 0.5000 0.0000 0.5000  8 Mo 2.73-2.77
Mo: 0.5000 0.0000 0.8288  6 Mo 2.72-2.77, 2 Ta 2.80
Mo: 0.5000 0.5000 0.3352  8 Mo 2.72-2.77
Mo: 0.5000 0.5000 0.6648  8 Mo 2.72-2.77

***

(10)
A relaxed structure of PAu2. Source: Alexandria via LeMat-Bulk, functional PBE.

Calculated values
Energy of formation   0.34 eV/atom
Space group   Immm (71)

Cell lengths 2.8506, 3.3719, 10.8840 Å; angles 90.00, 90.00, 90.00 degrees
Closest atoms and distances in Å follow each position.
Element x y z (fractional)
P: 0.0000 0.0000 0.0000  8 Au 2.79, 2 P 2.85
P: 0.5000 0.5000 0.5000  8 Au 2.79, 2 P 2.85
Au: 0.0000 0.0000 0.3433  4 P 2.79, 6 Au 2.85-3.00
Au: 0.0000 0.0000 0.6567  4 P 2.79, 6 Au 2.85-3.00
Au: 0.5000 0.5000 0.1567  4 P 2.79, 6 Au 2.85-3.00
Au: 0.5000 0.5000 0.8433  4 P 2.79, 6 Au 2.85-3.00

***

(11)
A relaxed structure of TbY4As5. Source: Alexandria via LeMat-Bulk, functional PBE.

Calculated values
Energy of formation   -1.55 eV/atom
Space group   Immm (71)

Cell lengths 10.9155, 10.9155, 10.9155 Å; angles 158.20, 149.00, 38.22 degrees
Closest atoms and distances in Å follow each position.
Element x y z (fractional)
Tb: 0.0000 0.0000 0.0000  6 As 2.92
Y: 0.2001 0.2001 0.0000  6 As 2.92
Y: 0.3999 0.3999 0.0000  6 As 2.92
Y: 0.6001 0.6001 0.0000  6 As 2.92
Y: 0.7999 0.7999 0.0000  6 As 2.92
As: 0.1002 0.6002 0.5000  4 Y 2.92, 2 Tb 2.92
As: 0.3000 0.8000 0.5000  6 Y 2.92
As: 0.5000 0.0000 0.5000  2 Tb 2.92, 4 Y 2.92
As: 0.7000 0.2000 0.5000  6 Y 2.92
As: 0.8998 0.3998 0.5000  4 Y 2.92, 2 Tb 2.92

***

(12)
A relaxed structure of PmScIr. Source: Alexandria via LeMat-Bulk, functional PBE.

Calculated values
Energy of formation   -0.46 eV/atom
Space group   P3m1 (156)
Relative energy among the computed polymorphs   242 meV per atom

Cell lengths 4.1470, 4.1470, 5.4605 Å; angles 90.00, 90.00, 120.00 degrees
Closest atoms and distances in Å follow each position.
Element x y z (fractional)
Pm: 0.0000 0.0000 0.0000  3 Ir 2.85
Sc: 0.6667 0.3333 0.5244  3 Ir 2.61
Ir: 0.3333 0.6667 0.7165  3 Sc 2.61, 3 Pm 2.85

***

(13)
A relaxed structure of Fe2Tc. Source: Alexandria via LeMat-Bulk, functional PBE.

Calculated values
Energy of formation   1.13 eV/atom
Space group   Pa-3 (205)
Relative energy among the computed polymorphs   1113 meV per atom

Cell lengths 5.5938, 5.5938, 5.5938 Å; angles 90.00, 90.00, 90.00 degrees
Closest atoms and distances in Å follow each position.
Element x y z (fractional)
Fe: 0.1163 0.1163 0.1163  1 Fe 2.25, 3 Tc 2.34
Fe: 0.1163 0.3837 0.6163  1 Fe 2.25, 3 Tc 2.34
Fe: 0.3837 0.6163 0.1163  1 Fe 2.25, 3 Tc 2.34
Fe: 0.3837 0.8837 0.6163  1 Fe 2.25, 3 Tc 2.34
Fe: 0.6163 0.1163 0.3837  1 Fe 2.25, 3 Tc 2.34
Fe: 0.6163 0.3837 0.8837  1 Fe 2.25, 3 Tc 2.34
Fe: 0.8837 0.6163 0.3837  1 Fe 2.25, 3 Tc 2.34
Fe: 0.8837 0.8837 0.8837  1 Fe 2.25, 3 Tc 2.34
Tc: 0.0000 0.0000 0.5000  6 Fe 2.34
Tc: 0.0000 0.5000 0.0000  6 Fe 2.34
Tc: 0.5000 0.0000 0.0000  6 Fe 2.34
Tc: 0.5000 0.5000 0.5000  6 Fe 2.34